The following is a DFT calculation (PBE) of a relaxed Li2Ga2SnAu2 crystal.

The space group is C2/m (No. 12) and the conventional cell measures 7.910, 4.434 and 7.602 Å, with angles of 90.00, 108.31 and 90.00 degrees. Symmetry generates all atoms from Li at (0.137, 0.000, 0.411), Ga at (0.065, 0.500, 0.697), Sn at (0.000, 0.000, 0.000) and Au at (0.240, 0.500, 0.221).

The value obtained for the formation energy is -2.48 eV/f.u. Its density of states at the Fermi level is 4.336 states/eV per cell.